No. 1
K2InAs PBEsol relaxed; E_form = -28.8 kJ per mole of atoms; symmetry = Imm2, No. 44; total magnetic moment = 0.000 μB per formula unit
1.0
4.113 0.000 0.000
0.000 5.589 0.000
-2.056 -2.794 5.694
As K In
1 2 1
direct
0.538 0.538 0.076
0.977 0.977 0.955
0.796 0.296 0.592
0.189 0.689 0.377

---

No. 2
K2InAs PBEsol relaxed; E_form = -11.0 kJ per mole of atoms; symmetry = I-4m2, No. 119; total magnetic moment = 0.000 μB per formula unit
1.0
5.175 0.000 0.000
-2.588 5.098 0.006
0.000 2.622 4.462
As In K
1 1 2
direct
0.500 0.000 0.500
0.750 0.500 0.750
0.000 0.000 0.000
0.250 0.500 0.250

---

No. 3
K10NbInAs6 PBEsol relaxed; E_form = -43.7 kJ per mole of atoms; symmetry = Pc, No. 7; total magnetic moment = 0.000 μB per formula unit
1.0
-2.570 7.822 0.445
-6.000 -1.597 -6.590
-10.490 -4.018 10.044
K Nb In As
20 2 2 12
direct
0.256 0.318 0.587
0.744 0.818 0.087
0.235 0.681 0.409
0.765 0.181 0.909
0.428 0.915 0.245
0.572 0.415 0.745
0.085 0.081 0.760
0.915 0.581 0.260
0.263 0.297 0.246
0.737 0.797 0.746
0.226 0.697 0.758
0.774 0.197 0.258
0.913 0.578 0.581
0.087 0.078 0.081
0.582 0.425 0.418
0.418 0.925 0.918
0.757 0.851 0.429
0.243 0.351 0.929
0.781 0.163 0.579
0.219 0.663 0.079
0.381 0.928 0.575
0.619 0.428 0.075
0.121 0.073 0.417
0.879 0.573 0.917
0.076 0.911 0.572
0.924 0.411 0.072
0.455 0.080 0.438
0.545 0.580 0.938
0.036 0.920 0.274
0.964 0.420 0.774
0.468 0.058 0.711
0.532 0.558 0.211
0.999 0.349 0.422
0.001 0.849 0.922
0.503 0.675 0.577
0.497 0.175 0.077

---

No. 4
KIn2AsOs PBEsol relaxed; E_form = 216.8 kJ per mole of atoms; symmetry = P4/mmm, No. 123; total magnetic moment = 0.003 μB per formula unit
1.0
4.653 0.000 0.000
0.000 5.438 0.000
0.000 0.000 5.438
As Os K In
1 1 1 2
direct
0.500 0.500 0.500
0.500 0.000 0.000
0.000 0.000 0.000
0.000 0.000 0.500
0.000 0.500 0.000

---

No. 5
KIn2AsPt PBEsol relaxed; E_form = 140.8 kJ per mole of atoms; symmetry = P4/mmm, No. 123; total magnetic moment = 0.001 μB per formula unit
1.0
4.981 0.000 0.000
0.000 5.585 0.000
0.000 0.000 5.585
As K Pt In
1 1 1 2
direct
0.500 0.500 0.500
0.000 0.000 0.000
0.500 0.000 0.000
0.000 0.000 0.500
0.000 0.500 0.000

---

No. 6
LaInAs2 PBEsol relaxed; E_form = -65.9 kJ per mole of atoms; symmetry = R-3m, No. 166; total magnetic moment = 0.000 μB per formula unit
1.0
-1.793 -3.481 -1.677
1.949 -2.088 -3.160
3.114 -5.506 2.688
As In La
2 1 1
direct
0.244 0.244 0.268
0.756 0.756 0.732
0.500 0.500 0.500
0.000 0.000 0.000

---

No. 7
LaInAs3 PBEsol relaxed; E_form = 51.0 kJ per mole of atoms; symmetry = Pm-3m, No. 221; total magnetic moment = 0.000 μB per formula unit
1.0
-3.706 -2.000 -3.631
-0.456 -4.644 3.024
-4.121 2.313 2.931
As In La
3 1 1
direct
0.000 0.500 0.000
0.000 0.000 0.500
0.500 0.000 0.000
0.500 0.500 0.500
0.000 0.000 0.000

---

No. 8
LiIn2As PBEsol relaxed; E_form = -9.2 kJ per mole of atoms; symmetry = P2/m, No. 10; total magnetic moment = 0.000 μB per formula unit
1.0
3.369 0.018 0.000
-0.161 4.866 0.000
0.000 0.000 5.320
As In Li
1 2 1
direct
0.500 0.000 0.500
0.262 0.247 0.000
0.738 0.753 0.000
0.000 0.500 0.500